LiEr2Ni12P3: optimized geometry, GGA-PBE.

Lattice parameters (Å, degrees): 6.1994 6.1994 6.1994 84.48 84.48 84.48
Fractional positions:
Li 0.0000 0.0000 0.0000
Er 0.3509 0.3509 0.3509
Er 0.6491 0.6491 0.6491
Ni 0.0993 0.6230 0.6230
Ni 0.1795 0.1795 0.6904
Ni 0.1795 0.6904 0.1795
Ni 0.3096 0.8205 0.8205
Ni 0.3770 0.3770 0.9007
Ni 0.3770 0.9007 0.3770
Ni 0.6230 0.0993 0.6230
Ni 0.6230 0.6230 0.0993
Ni 0.6904 0.1795 0.1795
Ni 0.8205 0.3096 0.8205
Ni 0.8205 0.8205 0.3096
Ni 0.9007 0.3770 0.3770
P 0.0000 0.0000 0.5000
P 0.0000 0.5000 0.0000
P 0.5000 0.0000 0.0000

## Properties
Space-group type ... No. 166
Uncorrected energy ... -5.60 eV per atom
N(E_F) ... 11.74 states/eV/f.u.
Total magnetization ... 0.00 μB/f.u.